In2W | PBE | relaxed

Unit cell a=3.251 b=13.216 c=4.598 alpha=90.00 beta=134.99 gamma=90.00
Space group Pc (No. 7)
One atom of each set of equivalent atoms:
In (0.000, 0.085, 0.000) (multiplicity 2)
In (0.985, 0.307, 0.977) (multiplicity 2)
W (0.986, 0.450, 0.478) (multiplicity 2)

Properties
Its energy is -5.876 eV/atom. The energy of formation from the pure elements is 0.267 eV/atom. Its crystal system is monoclinic.